# 1
DFT (PBE) results for Tb3Mg2Al after structural relaxation.

Cell lengths 5.2691, 5.2691, 12.9470 Å; angles 90.00, 90.00, 120.00 degrees
Closest atoms and distances in Å follow each position.
Positions (direct):
Al: 0.3333 0.6667 0.6627  8 Tb 3.19-3.22
Al: 0.6667 0.3333 0.3372  8 Tb 3.19-3.22
Tb: 0.6667 0.3333 0.5839  4 Al 3.19-3.21, 4 Mg 3.23-3.28
Tb: 0.6667 0.3333 0.0899  7 Mg 3.19-3.27, 1 Al 3.20
Tb: 0.0000 0.0000 0.7446  5 Mg 3.17-3.31, 3 Al 3.22
Tb: 0.3333 0.6667 0.9101  7 Mg 3.19-3.27, 1 Al 3.20
Tb: 0.3333 0.6667 0.4161  4 Al 3.19-3.21, 4 Mg 3.23-3.28
Tb: 0.0000 0.0000 0.2554  5 Mg 3.17-3.31, 3 Al 3.22
Mg: 0.6667 0.3333 0.8371  8 Tb 3.19-3.28
Mg: 0.3333 0.6667 0.1629  8 Tb 3.19-3.28
Mg: 0.0000 0.0000 0.0000  8 Tb 3.26-3.31
Mg: 0.0000 0.0000 0.5000  8 Tb 3.17-3.23

Calculated values
Polymorph energy (0 for the lowest one) in eV per atom: 0.0000
Energy of formation from the pure elements in kJ/mol of formula units: -119
Raw total energy in eV per atom: -3.6762

=====

# 2
DFT (PBE) results for TbMg2Al9 after structural relaxation.

Cell lengths 5.4302, 5.4302, 9.4639 Å; angles 73.33, 73.33, 60.00 degrees
Closest atoms and distances in Å follow each position.
Positions (direct):
Al: 0.9199 0.4144 0.2514  7 Al 2.69-2.76
Al: 0.5000 0.5000 0.5000  6 Al 2.73
Al: 0.4144 0.4144 0.2514  7 Al 2.69-2.76
Al: 0.0801 0.5856 0.7486  7 Al 2.69-2.76
Al: 0.5856 0.0801 0.7486  7 Al 2.69-2.76
Al: 0.6653 0.6653 0.0042  6 Al 2.72-2.76
Al: 0.4144 0.9199 0.2514  7 Al 2.69-2.76
Al: 0.3347 0.3347 0.9958  6 Al 2.72-2.76
Al: 0.5856 0.5856 0.7486  7 Al 2.69-2.76
Mg: 0.1444 0.1444 0.5668  12 Al 3.16-3.21, 3 Mg 3.35
Mg: 0.8556 0.8556 0.4332  12 Al 3.16-3.21, 3 Mg 3.35
Tb: 0.0000 0.0000 0.0000  6 Al 3.14

Calculated values
Energy of formation from the pure elements in kJ/mol of formula units: -125
Raw total energy in eV per atom: -3.5665

=====

# 3
DFT (PBE) results for Tb4MgAl12 after structural relaxation.

Cell lengths 7.6349, 7.6349, 7.6349 Å; angles 109.47, 109.47, 109.47 degrees
Closest atoms and distances in Å follow each position.
Positions (direct):
Mg: 0.0000 0.0000 0.0000  6 Al 2.78
Al: 0.5000 0.7500 0.2500  4 Al 2.74
Al: 0.2500 0.7500 0.5000  4 Al 2.74
Al: 0.7500 0.2500 0.5000  4 Al 2.74
Al: 0.0000 0.3150 0.3150  4 Al 2.74, 1 Mg 2.78
Al: 0.6850 0.6850 0.0000  4 Al 2.74, 1 Mg 2.78
Al: 0.3150 0.3150 0.0000  4 Al 2.74, 1 Mg 2.78
Al: 0.2500 0.5000 0.7500  4 Al 2.74
Al: 0.7500 0.5000 0.2500  4 Al 2.74
Al: 0.0000 0.6850 0.6850  4 Al 2.74, 1 Mg 2.78
Al: 0.5000 0.2500 0.7500  4 Al 2.74
Al: 0.3150 0.0000 0.3150  4 Al 2.74, 1 Mg 2.78
Al: 0.6850 0.0000 0.6850  4 Al 2.74, 1 Mg 2.78
Tb: 0.0000 0.0000 0.5000  12 Al 3.12-3.17
Tb: 0.5000 0.0000 0.0000  12 Al 3.12-3.17
Tb: 0.5000 0.5000 0.5000  12 Al 3.12-3.17
Tb: 0.0000 0.5000 0.0000  12 Al 3.12-3.17

Calculated values
Energy of formation from the pure elements in kJ/mol of formula units: -604
Raw total energy in eV per atom: -4.1935

=====

# 4
DFT (PBE) results for Tb4MgAl3 after structural relaxation.

Cell lengths 3.6220, 4.6464, 12.0274 Å; angles 90.00, 90.00, 90.00 degrees
Closest atoms and distances in Å follow each position.
Positions (direct):
Tb: 0.5000 0.5000 0.3463  6 Al 3.14-3.22, 1 Mg 3.42
Tb: 0.0000 0.5000 0.8349  5 Al 3.15-3.22, 2 Mg 3.28
Tb: 0.5000 0.0000 0.6566  7 Al 3.13-3.27
Tb: 0.0000 0.0000 0.1671  4 Mg 3.20, 3 Al 3.24-3.39
Al: 0.0000 0.5000 0.5674  2 Al 2.81, 4 Tb 3.13
Al: 0.5000 0.0000 0.9288  2 Mg 2.82, 4 Tb 3.15
Al: 0.0000 0.0000 0.4366  2 Al 2.81, 4 Tb 3.14
Mg: 0.5000 0.5000 0.0623  2 Al 2.82

Calculated values
Polymorph energy (0 for the lowest one) in eV per atom: 0.0660
Energy of formation from the pure elements in kJ/mol of formula units: -209
Raw total energy in eV per atom: -4.1882

=====

# 5
DFT (PBE) results for Tb6Mg5Al after structural relaxation.

Cell lengths 5.3028, 7.5887, 8.4008 Å; angles 90.00, 71.60, 90.00 degrees
Closest atoms and distances in Å follow each position.
Positions (direct):
Tb: 0.1624 0.7566 0.6753  1 Al 3.18, 7 Mg 3.23-3.33
Tb: 0.5000 0.2396 0.0000  2 Al 3.21-3.22, 6 Mg 3.26-3.33
Tb: 0.8376 0.2434 0.3247  1 Al 3.18, 7 Mg 3.23-3.33
Tb: 0.8376 0.7566 0.3247  1 Al 3.18, 7 Mg 3.23-3.33
Tb: 0.5000 0.7604 0.0000  2 Al 3.21-3.22, 6 Mg 3.26-3.33
Tb: 0.1624 0.2434 0.6753  1 Al 3.18, 7 Mg 3.23-3.33
Al: 0.0000 0.0000 0.0000  8 Tb 3.18-3.22
Mg: 0.3300 0.0000 0.3399  8 Tb 3.23-3.26
Mg: 0.6682 0.5000 0.6637  8 Tb 3.29-3.33
Mg: 0.3318 0.5000 0.3363  8 Tb 3.29-3.33
Mg: 0.6700 0.0000 0.6601  8 Tb 3.23-3.26
Mg: 0.0000 0.5000 0.0000  8 Tb 3.24-3.31

Calculated values
Energy of formation from the pure elements in kJ/mol of formula units: -169
Raw total energy in eV per atom: -3.4377

=====

# 6
DFT (PBE) results for Tb12MgAl3 after structural relaxation.

Cell lengths 4.8110, 4.8110, 19.2527 Å; angles 90.00, 90.00, 90.00 degrees
Closest atoms and distances in Å follow each position.
Positions (direct):
Tb: 0.5000 0.5000 0.5000  8 Tb 3.39, 4 Al 3.40
Tb: 0.5000 0.0000 0.1309  8 Tb 3.36-3.48, 2 Al 3.36, 2 Mg 3.48
Tb: 0.5000 0.5000 0.2525  8 Tb 3.36-3.39, 4 Al 3.40
Tb: 0.5000 0.0000 0.8691  8 Tb 3.36-3.48, 2 Al 3.36, 2 Mg 3.48
Tb: 0.5000 0.0000 0.6238  4 Al 3.38-3.39, 8 Tb 3.39-3.40
Tb: 0.0000 0.5000 0.6238  4 Al 3.38-3.39, 8 Tb 3.39-3.40
Tb: 0.0000 0.5000 0.8691  8 Tb 3.36-3.48, 2 Al 3.36, 2 Mg 3.48
Tb: 0.0000 0.5000 0.1309  8 Tb 3.36-3.48, 2 Al 3.36, 2 Mg 3.48
Tb: 0.5000 0.5000 0.0000  4 Mg 3.40, 8 Tb 3.48
Tb: 0.5000 0.0000 0.3762  4 Al 3.38-3.39, 8 Tb 3.39-3.40
Tb: 0.0000 0.5000 0.3762  4 Al 3.38-3.39, 8 Tb 3.39-3.40
Tb: 0.5000 0.5000 0.7475  8 Tb 3.36-3.39, 4 Al 3.40
Al: 0.0000 0.0000 0.7469  12 Tb 3.36-3.40
Al: 0.0000 0.0000 0.2531  12 Tb 3.36-3.40
Al: 0.0000 0.0000 0.5000  12 Tb 3.39-3.40
Mg: 0.0000 0.0000 0.0000  12 Tb 3.40-3.48

Calculated values
Energy of formation from the pure elements in kJ/mol of formula units: -201
Raw total energy in eV per atom: -4.4042

=====

# 7
DFT (PBE) results for TbMgAl4 after structural relaxation.

Cell lengths 5.5454, 5.5454, 8.8149 Å; angles 90.00, 90.00, 120.00 degrees
Closest atoms and distances in Å follow each position.
Positions (direct):
Al: 0.8290 0.6579 0.2479  6 Al 2.70-2.85
Al: 0.8290 0.1710 0.2479  6 Al 2.70-2.85
Al: 0.0000 0.0000 0.0000  6 Al 2.73
Al: 0.1710 0.8290 0.7521  6 Al 2.70-2.85
Al: 0.6579 0.8290 0.7521  6 Al 2.70-2.85
Al: 0.3421 0.1710 0.2479  6 Al 2.70-2.85
Al: 0.1710 0.3421 0.7521  6 Al 2.70-2.85
Al: 0.0000 0.0000 0.5000  6 Al 2.76
Mg: 0.3333 0.6667 0.0561  12 Al 3.10-3.25, 1 Tb 3.29, 3 Mg 3.35
Mg: 0.6667 0.3333 0.9439  12 Al 3.10-3.25, 1 Tb 3.29, 3 Mg 3.35
Tb: 0.6667 0.3333 0.5703  12 Al 3.20-3.26, 1 Mg 3.29, 3 Tb 3.43
Tb: 0.3333 0.6667 0.4297  12 Al 3.20-3.26, 1 Mg 3.29, 3 Tb 3.43

Calculated values
Polymorph energy (0 for the lowest one) in eV per atom: 0.0000
Energy of formation from the pure elements in kJ/mol of formula units: -155
Raw total energy in eV per atom: -3.7997

=====

# 8
DFT (PBE) results for Tb6MgAl2 after structural relaxation.

Cell lengths 5.0318, 7.3807, 8.8604 Å; angles 114.61, 106.55, 90.00 degrees
Closest atoms and distances in Å follow each position.
Positions (direct):
Al: 0.3319 0.3318 0.6636  8 Tb 3.10-3.11
Al: 0.6681 0.6682 0.3364  8 Tb 3.10-3.11
Tb: 0.1697 0.4249 0.3396  3 Al 3.10-3.11, 1 Mg 3.21
Tb: 0.8303 0.5751 0.6604  3 Al 3.10-3.11, 1 Mg 3.21
Tb: 0.8303 0.0854 0.6604  3 Al 3.10-3.11, 1 Mg 3.21
Tb: 0.5000 0.2650 0.0000  2 Al 3.10, 2 Mg 3.19, 1 Tb 3.47
Tb: 0.5000 0.7350 0.0000  2 Al 3.10, 2 Mg 3.19, 1 Tb 3.47
Tb: 0.1697 0.9146 0.3396  3 Al 3.10-3.11, 1 Mg 3.21
Mg: 0.0000 0.0000 0.0000  8 Tb 3.19-3.21

Calculated values
Energy of formation from the pure elements in kJ/mol of formula units: 113
Raw total energy in eV per atom: -3.9650